Density functional theory data (meta-GGA SCAN) for a crystal of SrCaBi2 relaxed with PBEsol.

## Properties
**DFT formation energy**: -0.642 eV per atom
**D(E_F)**: 0.622 states/eV per atom
**Calculated volume**: 542.1 Å³ per cell

CIF file:
```
data_SrCaBi2
_cell_length_a 8.776
_cell_length_b 8.776
_cell_length_c 7.039
_cell_angle_alpha 90.00
_cell_angle_beta 90.00
_cell_angle_gamma 90.00
_symmetry_space_group_name_H-M 'I -4 2 d'
_symmetry_Int_Tables_number 122
_symmetry_space_group_name_Hall 'I -4 2bw'
loop_
_atom_site_label
_atom_site_fract_x
_atom_site_fract_y
_atom_site_fract_z
_atom_site_occupancy
Sr1 0.000 0.000 0.000 1
Ca1 0.000 0.000 0.500 1
Bi1 0.235 0.250 0.625 1
```

---

Density functional theory data (meta-GGA SCAN) for a crystal of SrCaTa2Bi relaxed with PBEsol.

## Properties
**DFT formation energy**: 1.745 eV per atom
**D(E_F)**: 0.966 states/eV per atom
**Calculated volume**: 140.3 Å³ per cell

CIF file:
```
data_SrCaTa2Bi
_cell_length_a 4.974
_cell_length_b 4.974
_cell_length_c 5.668
_cell_angle_alpha 90.00
_cell_angle_beta 90.00
_cell_angle_gamma 90.00
_symmetry_space_group_name_H-M 'P 4/m m m'
_symmetry_Int_Tables_number 123
_symmetry_space_group_name_Hall '-P 4 2'
loop_
_atom_site_label
_atom_site_fract_x
_atom_site_fract_y
_atom_site_fract_z
_atom_site_occupancy
Sr1 0.000 0.000 0.000 1
Ca1 0.500 0.500 0.500 1
Ta1 0.000 0.500 0.500 1
Bi1 0.500 0.500 0.000 1
```

---

Density functional theory data (meta-GGA SCAN) for a crystal of CaTaBi2 relaxed with PBEsol.

## Properties
**DFT formation energy**: 0.250 eV per atom
**D(E_F)**: 0.774 states/eV per atom
**Calculated volume**: 445.5 Å³ per cell

CIF file:
```
data_CaTaBi2
_cell_length_a 8.101
_cell_length_b 8.101
_cell_length_c 6.788
_cell_angle_alpha 90.00
_cell_angle_beta 90.00
_cell_angle_gamma 90.00
_symmetry_space_group_name_H-M 'I -4 2 d'
_symmetry_Int_Tables_number 122
_symmetry_space_group_name_Hall 'I -4 2bw'
loop_
_atom_site_label
_atom_site_fract_x
_atom_site_fract_y
_atom_site_fract_z
_atom_site_occupancy
Ca1 0.000 0.000 0.000 1
Ta1 0.000 0.000 0.500 1
Bi1 0.220 0.250 0.625 1
```

---

Density functional theory data (meta-GGA SCAN) for a crystal of CaZrTa2Bi relaxed with PBEsol.

## Properties
**DFT formation energy**: 1.637 eV per atom
**D(E_F)**: 0.891 states/eV per atom
**Calculated volume**: 142.5 Å³ per cell

CIF file:
```
data_CaZrTa2Bi
_cell_length_a 5.161
_cell_length_b 5.161
_cell_length_c 5.349
_cell_angle_alpha 90.00
_cell_angle_beta 90.00
_cell_angle_gamma 90.00
_symmetry_space_group_name_H-M 'P 4/m m m'
_symmetry_Int_Tables_number 123
_symmetry_space_group_name_Hall '-P 4 2'
loop_
_atom_site_label
_atom_site_fract_x
_atom_site_fract_y
_atom_site_fract_z
_atom_site_occupancy
Ca1 0.000 0.000 0.000 1
Zr1 0.500 0.500 0.000 1
Ta1 0.000 0.500 0.500 1
Bi1 0.000 0.000 0.500 1
```

---

Density functional theory data (meta-GGA SCAN) for a crystal of CaZrTc2Bi relaxed with PBEsol.

## Properties
**DFT formation energy**: 1.287 eV per atom
**D(E_F)**: 0.936 states/eV per atom
**Calculated volume**: 119.8 Å³ per cell

CIF file:
```
data_CaZrTc2Bi
_cell_length_a 4.693
_cell_length_b 4.693
_cell_length_c 5.438
_cell_angle_alpha 90.00
_cell_angle_beta 90.00
_cell_angle_gamma 90.00
_symmetry_space_group_name_H-M 'P 4/m m m'
_symmetry_Int_Tables_number 123
_symmetry_space_group_name_Hall '-P 4 2'
loop_
_atom_site_label
_atom_site_fract_x
_atom_site_fract_y
_atom_site_fract_z
_atom_site_occupancy
Ca1 0.000 0.000 0.000 1
Zr1 0.000 0.000 0.500 1
Tc1 0.000 0.500 0.500 1
Bi1 0.500 0.500 0.000 1
```

---

Density functional theory data (meta-GGA SCAN) for a crystal of Ca2Bi2Te relaxed with PBEsol.

## Properties
**D(E_F)**: 0.789 states/eV per atom
**Formation energy (no corrections)**: -569 meV per atom
**Calculated volume**: 345.4 Å³ per cell

CIF file:
```
data_Ca2Bi2Te
_cell_length_a 6.128
_cell_length_b 6.128
_cell_length_c 9.197
_cell_angle_alpha 90.00
_cell_angle_beta 90.00
_cell_angle_gamma 90.00
_symmetry_space_group_name_H-M 'I 4/m m m'
_symmetry_Int_Tables_number 139
_symmetry_space_group_name_Hall '-I 4 2'
loop_
_atom_site_label
_atom_site_fract_x
_atom_site_fract_y
_atom_site_fract_z
_atom_site_occupancy
Ca1 0.000 0.500 0.250 1
Bi1 0.000 0.000 0.164 1
Te1 0.000 0.000 0.500 1
```

---

Density functional theory data (meta-GGA SCAN) for a crystal of CaBiTe3 relaxed with PBEsol.

## Properties
**D(E_F)**: 1.109 states/eV per atom
**Formation energy (no corrections)**: 188 meV per atom
**Calculated volume**: 180.6 Å³ per cell

CIF file:
```
data_CaBiTe3
_cell_length_a 5.653
_cell_length_b 5.653
_cell_length_c 5.653
_cell_angle_alpha 90.00
_cell_angle_beta 90.00
_cell_angle_gamma 90.00
_symmetry_space_group_name_H-M 'P m -3 m'
_symmetry_Int_Tables_number 221
_symmetry_space_group_name_Hall '-P 4 2 3'
loop_
_atom_site_label
_atom_site_fract_x
_atom_site_fract_y
_atom_site_fract_z
_atom_site_occupancy
Ca1 0.000 0.000 0.000 1
Bi1 0.500 0.500 0.500 1
Te1 0.000 0.000 0.500 1
```

---

Density functional theory data (meta-GGA SCAN) for a crystal of Ca3BiTe relaxed with PBEsol.

## Properties
**D(E_F)**: 0.436 states/eV per atom
**Formation energy (no corrections)**: -586 meV per atom
**Calculated volume**: 201.9 Å³ per cell

CIF file:
```
data_Ca3BiTe
_cell_length_a 5.867
_cell_length_b 5.867
_cell_length_c 5.867
_cell_angle_alpha 90.00
_cell_angle_beta 90.00
_cell_angle_gamma 90.00
_symmetry_space_group_name_H-M 'P m -3 m'
_symmetry_Int_Tables_number 221
_symmetry_space_group_name_Hall '-P 4 2 3'
loop_
_atom_site_label
_atom_site_fract_x
_atom_site_fract_y
_atom_site_fract_z
_atom_site_occupancy
Ca1 0.000 0.000 0.500 1
Bi1 0.000 0.000 0.000 1
Te1 0.500 0.500 0.500 1
```